Entry from Alexandria via LeMat-Bulk: crystalline KGaI3 at its relaxed geometry (PBE-GGA).

Unit cell a=8.2927 b=9.2126 c=11.8102 alpha=90.00 beta=92.06 gamma=90.00
Closest atoms and distances in Å follow each position.
Fractional coordinates of all 20 atoms:
K 0.5407 0.1236 0.2607  7 I 3.62-3.95
K 0.0407 0.3764 0.7607  7 I 3.62-3.95
K 0.4593 0.8764 0.7393  7 I 3.62-3.95
K 0.9593 0.6236 0.2393  7 I 3.62-3.95
Ga 0.9403 0.9051 0.5572  1 Ga 2.44, 3 I 2.63-2.66
Ga 0.4403 0.5949 0.0572  1 Ga 2.44, 3 I 2.63-2.66
Ga 0.0597 0.0949 0.4428  1 Ga 2.44, 3 I 2.63-2.66
Ga 0.5597 0.4051 0.9428  1 Ga 2.44, 3 I 2.63-2.66
I 0.6438 0.8171 0.0749  1 Ga 2.66
I 0.1438 0.6829 0.5749  1 Ga 2.66
I 0.3275 0.1984 0.5403  1 Ga 2.64
I 0.3751 0.5041 0.2620  1 Ga 2.63
I 0.1725 0.6984 0.9597  1 Ga 2.64
I 0.6725 0.8016 0.4597  1 Ga 2.64
I 0.8751 0.9959 0.7620  1 Ga 2.63
I 0.6249 0.4959 0.7380  1 Ga 2.63
I 0.8275 0.3016 0.0403  1 Ga 2.64
I 0.3562 0.1829 0.9251  1 Ga 2.66
I 0.1249 0.0041 0.2380  1 Ga 2.63
I 0.8562 0.3171 0.4251  1 Ga 2.66

## Properties
Its distance to the lowest polymorph of the same formula is 0.000 eV per atom. As for the formation energy (no corrections): -0.9142 eV/atom. The symmetry is No. 14. The calculated density is 3.6 Mg/m³. For the calculated volume, the calculation gives 901.7 Å³/cell.



Entry from Alexandria via LeMat-Bulk: crystalline ZrNiAs2 at its relaxed geometry (PBE-GGA).

Unit cell a=3.3136 b=3.3136 c=6.5154 alpha=90.00 beta=90.00 gamma=106.48
Closest atoms and distances in Å follow each position.
Fractional coordinates of all 4 atoms:
As 0.0000 0.0000 0.4690  2 Ni 2.44, 2 Zr 2.70
As 0.0000 0.0000 0.0310  2 Ni 2.44, 2 Zr 2.70
Zr 0.5000 0.5000 0.7500  4 As 2.70
Ni 0.5000 0.5000 0.2500  4 As 2.44

## Properties
Its total energy is -6.261 eV/atom. The symmetry is No. 65. The calculated density is 7.3 Mg/m³. For the calculated volume, the calculation gives 68.6 Å³/cell.



Entry from Alexandria via LeMat-Bulk: crystalline InGaBr2 at its relaxed geometry (PBE-GGA).

Unit cell a=5.5285 b=5.5285 c=5.5285 alpha=60.00 beta=60.00 gamma=60.00
Closest atoms and distances in Å follow each position.
Fractional coordinates of all 4 atoms:
Ga 0.0000 0.0000 0.0000  8 Br 3.39
Br 0.2500 0.2500 0.2500  4 In 3.39, 4 Ga 3.39
Br 0.7500 0.7500 0.7500  4 In 3.39, 4 Ga 3.39
In 0.5000 0.5000 0.5000  8 Br 3.39

## Properties
Its distance to the lowest polymorph of the same formula is 0.073 eV per atom. As for the formation energy (no corrections): -0.5232 eV/atom. The symmetry is No. 225. The calculated density is 4.8 Mg/m³. For the calculated volume, the calculation gives 119.5 Å³/cell.



Entry from Alexandria via LeMat-Bulk: crystalline Cd3InRh at its relaxed geometry (PBE-GGA).

Unit cell a=5.1943 b=5.1943 c=5.1943 alpha=90.00 beta=90.00 gamma=90.00
Closest atoms and distances in Å follow each position.
Fractional coordinates of all 5 atoms:
Cd 0.0000 0.5000 0.0000  2 Rh 2.60
Cd 0.5000 0.0000 0.0000  2 Rh 2.60
Cd 0.0000 0.0000 0.5000  2 Rh 2.60
Rh 0.0000 0.0000 0.0000  6 Cd 2.60
In 0.5000 0.5000 0.5000  12 Cd 3.67

## Properties
Its distance to the lowest polymorph of the same formula is 0.199 eV per atom. The symmetry is No. 221. The calculated density is 6.6 Mg/m³. For the calculated volume, the calculation gives 140.1 Å³/cell.



Entry from Alexandria via LeMat-Bulk: crystalline Ca4TlPb5 at its relaxed geometry (PBE-GGA).

Unit cell a=3.6093 b=3.6093 c=23.5259 alpha=90.00 beta=90.00 gamma=90.00
Closest atoms and distances in Å follow each position.
Fractional coordinates of all 10 atoms:
Ca 0.0000 0.0000 0.4026  8 Pb 3.43, 4 Ca 3.61
Ca 0.0000 0.0000 0.2095  8 Pb 3.40-3.50, 4 Ca 3.61
Ca 0.0000 0.0000 0.7905  8 Pb 3.40-3.50, 4 Ca 3.61
Ca 0.0000 0.0000 0.5974  8 Pb 3.43, 4 Ca 3.61
Pb 0.5000 0.5000 0.8922  4 Ca 3.50, 4 Tl 3.60, 4 Pb 3.61
Pb 0.5000 0.5000 0.1078  4 Ca 3.50, 4 Tl 3.60, 4 Pb 3.61
Pb 0.5000 0.5000 0.5000  8 Ca 3.43, 4 Pb 3.61
Pb 0.5000 0.5000 0.6947  8 Ca 3.40-3.43, 4 Pb 3.61
Pb 0.5000 0.5000 0.3053  8 Ca 3.40-3.43, 4 Pb 3.61
Tl 0.0000 0.0000 0.0000  8 Pb 3.60, 4 Tl 3.61

## Properties
Its total energy is -3.278 eV/atom. The symmetry is No. 123. The calculated density is 7.6 Mg/m³. For the calculated volume, the calculation gives 306.5 Å³/cell.



Entry from Alexandria via LeMat-Bulk: crystalline ErMgPt2 at its relaxed geometry (PBE-GGA).

Unit cell a=3.4565 b=4.6374 c=4.6374 alpha=90.00 beta=90.00 gamma=90.00
Closest atoms and distances in Å follow each position.
Fractional coordinates of all 4 atoms:
Mg 0.5000 0.0000 0.0000  8 Pt 2.89
Er 0.5000 0.5000 0.5000  8 Pt 2.89
Pt 0.0000 0.0000 0.5000  4 Er 2.89, 4 Mg 2.89
Pt 0.0000 0.5000 0.0000  4 Mg 2.89, 4 Er 2.89

## Properties
Its total energy is -5.601 eV/atom. The symmetry is No. 123. The calculated density is 13.0 Mg/m³. For the calculated volume, the calculation gives 74.3 Å³/cell.